The following is a DFT calculation (PBE) of a relaxed structure of Dy2MgNi2.

The structure belongs to space group P4/mbm (No. 127); the cell edges are 7.326, 7.326 and 3.753 Å and the angles 90.00°, 90.00° and 90.00°. The inequivalent atoms are Dy at (0.173, 0.327, 0.000), Mg at (0.000, 0.000, 0.500) and Ni at (0.121, 0.621, 0.500).

The calculation puts the size of the total moment at 0.000 μB per atom. The total DFT energy (no corrections) is -48.6 eV/cell. The energy relative to the elements comes out at -185 kJ/mol of formula units. Its density of states at the Fermi level is 4.4 states/eV/f.u.